Record 1
CoCu2H | the Alexandria database | PBE | optimized geometry; total moment = 1.7 μB/f.u.; polymorph energy (0 for the lowest one) = 368 meV/atom; volume = 78 Å³ per cell; space group = I-42d (122); D(E_F) = 1.000 states/eV per atom
1.0
-4.0204 -2.0761 3.7753
1.7729 -5.5034 -1.1385
0.3790 -3.6523 2.9943
H Co Cu
2 2 4
direct
0.5000 0.5000 0.0000
0.2500 0.7500 0.5000
0.0000 0.0000 0.0000
0.7500 0.2500 0.5000
0.5286 0.1250 0.2500
0.2214 0.6250 0.2500
0.3750 0.4714 0.7500
0.8750 0.7786 0.7500



Record 2
DyCo4Mo | the Alexandria database | PBE | optimized geometry; total moment = 1.1 μB/f.u.; volume = 81 Å³ per cell; space group = F-43m (216); D(E_F) = 1.519 states/eV per atom; calculated formation energy = 0.41 eV/f.u.
1.0
-2.7359 2.6794 2.9783
-1.7950 -1.9550 4.0609
1.7358 1.3617 4.3205
Mo Co Dy
1 4 1
direct
0.2500 0.2500 0.2500
0.6253 0.6253 0.1240
0.6253 0.1240 0.6253
0.6253 0.6253 0.6253
0.1240 0.6253 0.6253
0.0000 0.0000 0.0000